[1]
{
  "formula": "MnBeCoHg2",
  "functional": "SCAN",
  "state": "PBEsol geometry",
  "crystal_system": "tetragonal",
  "dos_at_fermi_per_ev_atom": 0.338,
  "total_energy_ev_per_atom": -34.6790,
  "formation_enthalpy_0k_mev_per_atom": 570,
  "lattice_angstrom": [[4.835, 0.000, 0.000], [0.000, 4.835, 0.000], [0.000, 0.000, 3.915]],
  "species": ["Mn", "Be", "Co", "Hg", "Hg"],
  "fractional_positions": [[0.000, 0.000, 0.000], [0.500, 0.500, 0.000], [0.500, 0.500, 0.500], [0.000, 0.500, 0.500], [0.500, 0.000, 0.500]]
}

[2]
{
  "formula": "BeCoIN2",
  "functional": "SCAN",
  "state": "PBEsol geometry",
  "crystal_system": "tetragonal",
  "dos_at_fermi_per_ev_atom": 0.486,
  "total_energy_ev_per_atom": -14.1177,
  "formation_energy_uncorrected_ev_per_atom": 1.279,
  "lattice_angstrom": [[3.472, 0.000, 0.000], [0.000, 3.472, 0.000], [0.000, 0.000, 5.822]],
  "species": ["Be", "Co", "I", "N", "N"],
  "fractional_positions": [[0.000, 0.000, 0.000], [0.500, 0.500, 0.500], [0.000, 0.000, 0.500], [0.000, 0.500, 0.000], [0.500, 0.000, 0.000]]
}

[3]
{
  "formula": "BeCoI2O",
  "functional": "SCAN",
  "state": "PBEsol geometry",
  "crystal_system": "tetragonal",
  "dos_at_fermi_per_ev_atom": 0.420,
  "total_energy_ev_per_atom": -20.5569,
  "formation_energy_uncorrected_ev_per_atom": -0.282,
  "lattice_angstrom": [[5.738, 0.000, 0.000], [0.000, 5.738, 0.000], [0.000, 0.000, 2.946]],
  "species": ["Be", "Co", "I", "I", "O"],
  "fractional_positions": [[0.000, 0.000, 0.000], [0.500, 0.500, 0.500], [0.000, 0.500, 0.000], [0.500, 0.000, 0.000], [0.000, 0.000, 0.500]]
}

| no. | magnetic moment (μB/f.u.) |
| --- | --- |
| 1 | 5.77 |
| 2 | 3.59 |
| 3 | 2.22 |